# PBE-GGA Mn2CrOs, optimized geometry
data_Mn2CrOs
_chemical_formula_sum 'Mn4 Cr2 Os2'
_cell_length_a 3.0928
_cell_length_b 4.0387
_cell_length_c 7.9535
_cell_angle_alpha 90.00
_cell_angle_beta 90.00
_cell_angle_gamma 90.00
_space_group_name_H-M_alt 'I m m m'
_space_group_IT_number 71
_space_group_name_Hall '-I 2 2'
loop_
_atom_site_label
_atom_site_fract_x
_atom_site_fract_y
_atom_site_fract_z
Mn1 0.0000 0.0000 0.2418
Cr1 0.0000 0.5000 0.5000
Os1 0.0000 0.5000 0.0000
# - Raw total energy: -77.49 eV/cell
# - V: 12.42 Å³ per atom


# PBE-GGA MnCr3Os, optimized geometry
data_MnCr3Os
_chemical_formula_sum 'Mn1 Cr3 Os1'
_cell_length_a 4.1095
_cell_length_b 4.1095
_cell_length_c 4.1095
_cell_angle_alpha 90.00
_cell_angle_beta 90.00
_cell_angle_gamma 90.00
_space_group_name_H-M_alt 'P m -3 m'
_space_group_IT_number 221
_space_group_name_Hall '-P 4 2 3'
loop_
_atom_site_label
_atom_site_fract_x
_atom_site_fract_y
_atom_site_fract_z
Mn1 0.0000 0.0000 0.0000
Cr1 0.0000 0.0000 0.5000
Os1 0.5000 0.5000 0.5000
# - Raw total energy: -43.14 eV/cell
# - V: 13.88 Å³ per atom


# PBE-GGA MnCr2Os, optimized geometry
data_MnCr2Os
_chemical_formula_sum 'Mn2 Cr4 Os2'
_cell_length_a 2.9618
_cell_length_b 4.1197
_cell_length_c 8.1898
_cell_angle_alpha 90.00
_cell_angle_beta 90.00
_cell_angle_gamma 90.00
_space_group_name_H-M_alt 'I m m m'
_space_group_IT_number 71
_space_group_name_Hall '-I 2 2'
loop_
_atom_site_label
_atom_site_fract_x
_atom_site_fract_y
_atom_site_fract_z
Mn1 0.0000 0.0000 0.0000
Cr1 0.0000 0.5000 0.2547
Os1 0.0000 0.0000 0.5000
# - Raw total energy: -78.46 eV/cell
# - V: 12.49 Å³ per atom


# PBE-GGA MnCr2Os, optimized geometry
data_MnCr2Os
_chemical_formula_sum 'Mn1 Cr2 Os1'
_cell_length_a 2.9117
_cell_length_b 2.9117
_cell_length_c 5.9098
_cell_angle_alpha 90.00
_cell_angle_beta 90.00
_cell_angle_gamma 90.00
_space_group_name_H-M_alt 'P 4 m m'
_space_group_IT_number 99
loop_
_space_group_symop_operation_xyz
'x,y,z'
'-y,x,z'
'-x,-y,z'
'y,-x,z'
'-x,y,z'
'y,x,z'
'x,-y,z'
'-y,-x,z'
loop_
_atom_site_label
_atom_site_fract_x
_atom_site_fract_y
_atom_site_fract_z
Mn1 0.0000 0.0000 0.0000
Cr1 0.0000 0.0000 0.5416
Cr2 0.5000 0.5000 0.7759
Os1 0.5000 0.5000 0.2813
# - Raw total energy: -39.34 eV/cell
# - V: 12.53 Å³ per atom


# PBE-GGA Mn2CrOs2, optimized geometry
data_Mn2CrOs2
_chemical_formula_sum 'Mn4 Cr2 Os4'
_cell_length_a 6.9623
_cell_length_b 6.9623
_cell_length_c 2.6870
_cell_angle_alpha 90.00
_cell_angle_beta 90.00
_cell_angle_gamma 90.00
_space_group_name_H-M_alt 'P 4/m b m'
_space_group_IT_number 127
_space_group_name_Hall '-P 4 2ab'
loop_
_atom_site_label
_atom_site_fract_x
_atom_site_fract_y
_atom_site_fract_z
Mn1 0.1219 0.3781 0.0000
Cr1 0.0000 0.0000 0.0000
Os1 0.1738 0.6738 0.5000
# - Raw total energy: -98.17 eV/cell
# - ΔE to the lowest computed polymorph: 0 meV/atom
# - V: 13.02 Å³ per atom


# PBE-GGA MnCrOs, optimized geometry
data_MnCrOs
_chemical_formula_sum 'Mn4 Cr4 Os4'
_cell_length_a 5.6381
_cell_length_b 5.6381
_cell_length_c 5.6381
_cell_angle_alpha 90.00
_cell_angle_beta 90.00
_cell_angle_gamma 90.00
_space_group_name_H-M_alt 'F -4 3 m'
_space_group_IT_number 216
_space_group_name_Hall 'F -4 2 3'
loop_
_atom_site_label
_atom_site_fract_x
_atom_site_fract_y
_atom_site_fract_z
Mn1 0.0000 0.0000 0.0000
Cr1 0.2500 0.2500 0.2500
Os1 0.0000 0.0000 0.5000
# - Raw total energy: -113.90 eV/cell
# - ΔE to the lowest computed polymorph: 452 meV/atom
# - V: 14.94 Å³ per atom


# PBE-GGA Mn2CrOs, optimized geometry
data_Mn2CrOs
_chemical_formula_sum 'Mn4 Cr2 Os2'
_cell_length_a 8.5342
_cell_length_b 2.6230
_cell_length_c 4.4501
_cell_angle_alpha 90.00
_cell_angle_beta 100.76
_cell_angle_gamma 90.00
_space_group_name_H-M_alt 'C 1 2/m 1'
_space_group_IT_number 12
loop_
_space_group_symop_operation_xyz
'x,y,z'
'-x,-y,-z'
'-x,y,-z'
'x,-y,z'
'x+1/2,y+1/2,z'
'-x+1/2,-y+1/2,-z'
'-x+1/2,y+1/2,-z'
'x+1/2,-y+1/2,z'
loop_
_atom_site_label
_atom_site_fract_x
_atom_site_fract_y
_atom_site_fract_z
Mn1 0.2485 0.0000 0.2451
Cr1 0.0000 0.5000 0.0000
Os1 0.0000 0.0000 0.5000
# - Raw total energy: -77.35 eV/cell
# - V: 12.23 Å³ per atom


# PBE-GGA MnCr2Os, optimized geometry
data_MnCr2Os
_chemical_formula_sum 'Mn2 Cr4 Os2'
_cell_length_a 2.8941
_cell_length_b 4.2669
_cell_length_c 8.0885
_cell_angle_alpha 90.00
_cell_angle_beta 90.00
_cell_angle_gamma 90.00
_space_group_name_H-M_alt 'C m m m'
_space_group_IT_number 65
_space_group_name_Hall '-C 2 2'
loop_
_atom_site_label
_atom_site_fract_x
_atom_site_fract_y
_atom_site_fract_z
Mn1 0.0000 0.0000 0.0000
Cr1 0.0000 0.5000 0.2357
Os1 0.0000 0.0000 0.5000
# - Raw total energy: -77.52 eV/cell
# - V: 12.49 Å³ per atom


# PBE-GGA Mn3CrOs2, optimized geometry
data_Mn3CrOs2
_chemical_formula_sum 'Mn6 Cr2 Os4'
_cell_length_a 4.6867
_cell_length_b 4.6867
_cell_length_c 7.5705
_cell_angle_alpha 90.00
_cell_angle_beta 90.00
_cell_angle_gamma 120.00
_space_group_name_H-M_alt 'P 63/m m c'
_space_group_IT_number 194
_space_group_name_Hall '-P 6c 2c'
loop_
_atom_site_label
_atom_site_fract_x
_atom_site_fract_y
_atom_site_fract_z
Mn1 0.1746 0.3493 0.2500
Cr1 0.0000 0.0000 0.0000
Os1 0.3333 0.6667 0.5702
# - Raw total energy: -119.33 eV/cell
# - V: 12.00 Å³ per atom


# PBE-GGA Mn2CrOs, optimized geometry
data_Mn2CrOs
_chemical_formula_sum 'Mn4 Cr2 Os2'
_cell_length_a 3.6878
_cell_length_b 3.6878
_cell_length_c 7.2197
_cell_angle_alpha 90.00
_cell_angle_beta 90.00
_cell_angle_gamma 90.00
_space_group_name_H-M_alt 'I 4/m m m'
_space_group_IT_number 139
_space_group_name_Hall '-I 4 2'
loop_
_atom_site_label
_atom_site_fract_x
_atom_site_fract_y
_atom_site_fract_z
Mn1 0.0000 0.5000 0.2500
Cr1 0.0000 0.0000 0.0000
Os1 0.0000 0.0000 0.5000
# - Raw total energy: -77.79 eV/cell
# - V: 12.27 Å³ per atom


# PBE-GGA Mn2CrOs, optimized geometry
data_Mn2CrOs
_chemical_formula_sum 'Mn6 Cr3 Os3'
_cell_length_a 2.5991
_cell_length_b 2.5991
_cell_length_c 24.9887
_cell_angle_alpha 90.00
_cell_angle_beta 90.00
_cell_angle_gamma 120.00
_space_group_name_H-M_alt 'R 3 m'
_space_group_IT_number 160
_space_group_name_Hall 'R 3 -2"'
loop_
_atom_site_label
_atom_site_fract_x
_atom_site_fract_y
_atom_site_fract_z
Mn1 0.0000 0.0000 0.0000
Mn2 0.0000 0.0000 0.2564
Cr1 0.0000 0.0000 0.7485
Os1 0.0000 0.0000 0.5015
# - Raw total energy: -115.25 eV/cell
# - V: 12.18 Å³ per atom


# PBE-GGA Mn2CrOs2, optimized geometry
data_Mn2CrOs2
_chemical_formula_sum 'Mn4 Cr2 Os4'
_cell_length_a 7.0926
_cell_length_b 7.0926
_cell_length_c 2.6466
_cell_angle_alpha 90.00
_cell_angle_beta 90.00
_cell_angle_gamma 90.00
_space_group_name_H-M_alt 'P 4/m b m'
_space_group_IT_number 127
_space_group_name_Hall '-P 4 2ab'
loop_
_atom_site_label
_atom_site_fract_x
_atom_site_fract_y
_atom_site_fract_z
Mn1 0.1672 0.3328 0.0000
Cr1 0.0000 0.0000 0.5000
Os1 0.1302 0.6302 0.5000
# - Raw total energy: -97.45 eV/cell
# - ΔE to the lowest computed polymorph: 72 meV/atom
# - V: 13.31 Å³ per atom


# PBE-GGA Mn2CrOs, optimized geometry
data_Mn2CrOs
_chemical_formula_sum 'Mn4 Cr2 Os2'
_cell_length_a 5.2332
_cell_length_b 7.2036
_cell_length_c 2.6399
_cell_angle_alpha 90.00
_cell_angle_beta 90.00
_cell_angle_gamma 90.00
_space_group_name_H-M_alt 'C m m m'
_space_group_IT_number 65
_space_group_name_Hall '-C 2 2'
loop_
_atom_site_label
_atom_site_fract_x
_atom_site_fract_y
_atom_site_fract_z
Mn1 0.2500 0.2500 0.0000
Cr1 0.0000 0.0000 0.5000
Os1 0.0000 0.5000 0.5000
# - Raw total energy: -77.68 eV/cell
# - V: 12.44 Å³ per atom


# PBE-GGA MnCr2Os, optimized geometry
data_MnCr2Os
_chemical_formula_sum 'Mn2 Cr4 Os2'
_cell_length_a 2.8814
_cell_length_b 4.2854
_cell_length_c 8.1531
_cell_angle_alpha 90.00
_cell_angle_beta 90.00
_cell_angle_gamma 90.00
_space_group_name_H-M_alt 'C m m 2'
_space_group_IT_number 35
loop_
_space_group_symop_operation_xyz
'x,y,z'
'-x,-y,z'
'-x,y,z'
'x,-y,z'
'x+1/2,y+1/2,z'
'-x+1/2,-y+1/2,z'
'-x+1/2,y+1/2,z'
'x+1/2,-y+1/2,z'
loop_
_atom_site_label
_atom_site_fract_x
_atom_site_fract_y
_atom_site_fract_z
Mn1 0.0000 0.0000 0.0000
Cr1 0.0000 0.0000 0.5271
Cr2 0.0000 0.5000 0.7619
Os1 0.0000 0.5000 0.2653
# - Raw total energy: -77.74 eV/cell
# - V: 12.58 Å³ per atom


# PBE-GGA Mn2CrOs, optimized geometry
data_Mn2CrOs
_chemical_formula_sum 'Mn6 Cr3 Os3'
_cell_length_a 2.6127
_cell_length_b 2.6127
_cell_length_c 24.8339
_cell_angle_alpha 90.00
_cell_angle_beta 90.00
_cell_angle_gamma 120.00
_space_group_name_H-M_alt 'R -3 m'
_space_group_IT_number 166
_space_group_name_Hall '-R 3 2"'
loop_
_atom_site_label
_atom_site_fract_x
_atom_site_fract_y
_atom_site_fract_z
Mn1 0.0000 0.0000 0.2466
Cr1 0.0000 0.0000 0.5000
Os1 0.0000 0.0000 0.0000
# - Raw total energy: -115.12 eV/cell
# - V: 12.23 Å³ per atom


# PBE-GGA MnCrOs, optimized geometry
data_MnCrOs
_chemical_formula_sum 'Mn1 Cr1 Os1'
_cell_length_a 4.0428
_cell_length_b 4.0428
_cell_length_c 2.6115
_cell_angle_alpha 90.00
_cell_angle_beta 90.00
_cell_angle_gamma 120.00
_space_group_name_H-M_alt 'P -6 m 2'
_space_group_IT_number 187
_space_group_name_Hall 'P -6 2'
loop_
_atom_site_label
_atom_site_fract_x
_atom_site_fract_y
_atom_site_fract_z
Mn1 0.0000 0.0000 0.0000
Cr1 0.3333 0.6667 0.0000
Os1 0.6667 0.3333 0.5000
# - Raw total energy: -29.83 eV/cell
# - ΔE to the lowest computed polymorph: 0 meV/atom
# - V: 12.32 Å³ per atom


# PBE-GGA Mn2CrOs, optimized geometry
data_Mn2CrOs
_chemical_formula_sum 'Mn4 Cr2 Os2'
_cell_length_a 2.9255
_cell_length_b 4.2532
_cell_length_c 8.1096
_cell_angle_alpha 90.00
_cell_angle_beta 90.00
_cell_angle_gamma 90.00
_space_group_name_H-M_alt 'C m m m'
_space_group_IT_number 65
_space_group_name_Hall '-C 2 2'
loop_
_atom_site_label
_atom_site_fract_x
_atom_site_fract_y
_atom_site_fract_z
Mn1 0.0000 0.0000 0.2369
Cr1 0.0000 0.5000 0.0000
Os1 0.0000 0.5000 0.5000
# - Raw total energy: -76.55 eV/cell
# - V: 12.61 Å³ per atom


# PBE-GGA MnCr2Os, optimized geometry
data_MnCr2Os
_chemical_formula_sum 'Mn1 Cr2 Os1'
_cell_length_a 4.1293
_cell_length_b 4.1293
_cell_length_c 2.9593
_cell_angle_alpha 90.00
_cell_angle_beta 90.00
_cell_angle_gamma 90.00
_space_group_name_H-M_alt 'P 4/m m m'
_space_group_IT_number 123
_space_group_name_Hall '-P 4 2'
loop_
_atom_site_label
_atom_site_fract_x
_atom_site_fract_y
_atom_site_fract_z
Mn1 0.0000 0.0000 0.0000
Cr1 0.0000 0.5000 0.5000
Os1 0.5000 0.5000 0.0000
# - Raw total energy: -39.07 eV/cell
# - V: 12.61 Å³ per atom


# PBE-GGA MnCrOs, optimized geometry
data_MnCrOs
_chemical_formula_sum 'Mn4 Cr4 Os4'
_cell_length_a 2.6278
_cell_length_b 13.5358
_cell_length_c 4.1930
_cell_angle_alpha 90.00
_cell_angle_beta 90.00
_cell_angle_gamma 90.00
_space_group_name_H-M_alt 'C m c m'
_space_group_IT_number 63
_space_group_name_Hall '-C 2c 2'
loop_
_atom_site_label
_atom_site_fract_x
_atom_site_fract_y
_atom_site_fract_z
Mn1 0.0000 0.2235 0.2500
Cr1 0.0000 0.4432 0.7500
Os1 0.0000 0.1146 0.7500
# - Raw total energy: -119.11 eV/cell
# - ΔE to the lowest computed polymorph: 18 meV/atom
# - V: 12.43 Å³ per atom


# PBE-GGA MnCrOs, optimized geometry
data_MnCrOs
_chemical_formula_sum 'Mn4 Cr4 Os4'
_cell_length_a 2.9811
_cell_length_b 4.2826
_cell_length_c 12.1352
_cell_angle_alpha 90.00
_cell_angle_beta 90.00
_cell_angle_gamma 90.00
_space_group_name_H-M_alt 'F m m 2'
_space_group_IT_number 42
_space_group_name_Hall 'F 2 -2'
loop_
_atom_site_label
_atom_site_fract_x
_atom_site_fract_y
_atom_site_fract_z
Mn1 0.0000 0.0000 0.0000
Cr1 0.0000 0.0000 0.6537
Os1 0.0000 0.0000 0.3249
# - Raw total energy: -117.17 eV/cell
# - ΔE to the lowest computed polymorph: 179 meV/atom
# - V: 12.91 Å³ per atom


no.,DFT formation energy (meV/atom)
1,112
2,1225
3,104
4,78
5,267
6,516
7,129
8,222
9,-12
10,75
11,194
12,339
13,87
14,194
15,205
16,64
17,230
18,145
19,82
20,243